(1)
La2NdCd PBE optimized geometry; DFT formation energy = -4.6 kJ/mol of atoms; space group = No. 225
1.0
5.694 0.000 0.000
2.847 4.931 0.000
2.847 1.644 4.649
Cd Nd La
1 1 2
Cartesian
5.694 3.288 2.325 Cd
0.000 0.000 0.000 Nd
2.847 1.644 1.162 La
8.541 4.931 3.487 La

(2)
BaSrF PBE optimized geometry; space group = No. 156; E_form (uncorrected) = -1738 meV per atom
1.0
4.248 0.000 0.000
-2.124 3.679 0.000
0.000 0.000 8.053
Sr Ba F
1 1 1
Cartesian
2.124 1.226 4.024 Sr
0.000 0.000 8.050 Ba
0.000 2.453 4.032 F

no.,total magnetic moment (μB per cell),E above lowest polymorph (kJ per mole of atoms)
1,0.01,10.3
2,0.00,10.1